No. 1
First-principles (GGA-PBE) data for Nd4Cd3Ru after structural relaxation, as listed in the Alexandria database.

Properties
As for the space-group type: P4/mmm (123). As for the energy of formation: -0.270 eV/atom. The energy is -0.3055 Ry per atom.

a = 3.6602 Å, b = 3.6602 Å, c = 16.0745 Å
α = 90.00°, β = 90.00°, γ = 90.00°
With the nearest neighbours (Å) after each atom.
Sites, in units of the cell vectors:
Ru  0.5000  0.5000  0.0000  8 Nd 3.08
Nd  0.0000  0.0000  0.8960  4 Ru 3.08, 1 Nd 3.34, 4 Cd 3.41
Nd  0.0000  0.0000  0.1040  4 Ru 3.08, 1 Nd 3.34, 4 Cd 3.41
Nd  0.0000  0.0000  0.3703  8 Cd 3.30-3.32, 4 Nd 3.66
Nd  0.0000  0.0000  0.6297  8 Cd 3.30-3.32, 4 Nd 3.66
Cd  0.5000  0.5000  0.2426  8 Nd 3.30-3.41, 4 Cd 3.66
Cd  0.5000  0.5000  0.5000  8 Nd 3.32, 4 Cd 3.66
Cd  0.5000  0.5000  0.7574  8 Nd 3.30-3.41, 4 Cd 3.66

=====

No. 2
First-principles (GGA-PBE) data for Nd4CdRu2 after structural relaxation, as listed in the Alexandria database.

Properties
As for the space-group type: P1 (1). As for the energy of formation: -0.149 eV/atom. The energy is -0.4156 Ry per atom.

a = 9.2983 Å, b = 9.3019 Å, c = 7.4569 Å
α = 125.21°, β = 110.12°, γ = 105.26°
With the nearest neighbours (Å) after each atom.
Sites, in units of the cell vectors:
Nd  0.8628  0.8989  0.0346  4 Ru 3.00-3.05, 1 Cd 3.35
Nd  0.3814  0.6561  0.2560  3 Ru 2.86-3.06, 1 Cd 3.19
Nd  0.8747  0.4101  0.5331  4 Ru 2.98-3.15, 1 Cd 3.33
Nd  0.8291  0.2471  0.8485  3 Ru 2.82-3.07
Nd  0.3972  0.0513  0.2235  3 Ru 2.82-3.08
Nd  0.4006  0.1973  0.8166  3 Ru 2.86-3.05, 1 Cd 3.19
Nd  0.3667  0.5118  0.6893  3 Ru 2.87-2.99, 1 Cd 3.18
Nd  0.8237  0.7501  0.3821  3 Ru 2.87-3.01, 1 Cd 3.18
Cd  0.1715  0.7069  0.5371  7 Nd 3.25-3.33
Cd  0.1604  0.1960  0.0360  2 Ru 2.92-2.93, 6 Nd 3.18-3.20
Ru  0.6694  0.4554  0.8028  7 Nd 2.82-3.15, 1 Ru 2.99
Ru  0.6518  0.9375  0.2682  7 Nd 2.82-3.15, 1 Ru 3.00
Ru  0.5792  0.4833  0.4024  6 Nd 2.86-3.08, 1 Cd 2.92, 1 Ru 2.99
Ru  0.0816  0.2484  0.6698  6 Nd 2.86-3.07, 1 Cd 2.93, 1 Ru 3.00

=====

No. 3
First-principles (GGA-PBE) data for Nd5CdRu2 after structural relaxation, as listed in the Alexandria database.

Properties
As for the space-group type: I4/mcm (140). As for the energy of formation: -0.248 eV/atom. The energy is -0.4161 Ry per atom.

a = 8.0047 Å, b = 8.0047 Å, c = 8.9640 Å
α = 116.52°, β = 116.52°, γ = 90.00°
With the nearest neighbours (Å) after each atom.
Sites, in units of the cell vectors:
Nd  0.5272  0.7092  0.7365  3 Ru 2.90-3.03
Nd  0.7908  0.9728  0.2635  3 Ru 2.90-3.03
Nd  0.0000  0.0000  0.0000  4 Ru 3.08
Nd  0.5000  0.5000  0.0000  4 Ru 3.08
Nd  0.2092  0.0272  0.7365  3 Ru 2.90-3.03
Nd  0.7092  0.2092  0.7365  3 Ru 2.90-3.03
Nd  0.0272  0.5272  0.7365  3 Ru 2.90-3.03
Nd  0.2908  0.7908  0.2635  3 Ru 2.90-3.03
Nd  0.9728  0.4728  0.2635  3 Ru 2.90-3.03
Nd  0.4728  0.2908  0.2635  3 Ru 2.90-3.03
Cd  0.7500  0.7500  0.5000  10 Nd 3.43-3.48
Cd  0.2500  0.2500  0.5000  10 Nd 3.43-3.48
Ru  0.1422  0.3578  0.0000  8 Nd 2.90-3.08, 1 Ru 3.22
Ru  0.6422  0.1422  0.0000  8 Nd 2.90-3.08, 1 Ru 3.22
Ru  0.3578  0.8578  0.0000  8 Nd 2.90-3.08, 1 Ru 3.22
Ru  0.8578  0.6422  0.0000  8 Nd 2.90-3.08, 1 Ru 3.22

=====

No. 4
First-principles (GGA-PBE) data for Nd6CdRu after structural relaxation, as listed in the Alexandria database.

Properties
As for the space-group type: P-1 (2). As for the energy of formation: 0.049 eV/atom. The energy is -0.3529 Ry per atom.

a = 6.9920 Å, b = 7.0441 Å, c = 7.7394 Å
α = 63.42°, β = 63.63°, γ = 60.28°
With the nearest neighbours (Å) after each atom.
Sites, in units of the cell vectors:
Nd  0.0412  0.4169  0.7569  1 Ru 2.77
Nd  0.7824  0.0396  0.7555  1 Ru 2.76
Nd  0.5832  0.2144  0.2443  1 Ru 2.76
Nd  0.2176  0.9604  0.2445  1 Ru 2.76
Nd  0.9588  0.5831  0.2431  1 Ru 2.77
Nd  0.4168  0.7856  0.7557  1 Ru 2.76
Cd  0.5000  0.5000  0.5000  6 Nd 3.11-3.12
Ru  0.0000  0.0000  0.0000  6 Nd 2.76-2.77

=====

No. 5
First-principles (GGA-PBE) data for Nd11Cd9Ru4 after structural relaxation, as listed in the Alexandria database.

Properties
As for the space-group type: Cmmm (65). As for the energy of formation: -0.299 eV/atom. The energy is -0.3214 Ry per atom.

a = 3.8782 Å, b = 13.2406 Å, c = 13.2406 Å
α = 112.61°, β = 90.00°, γ = 90.00°
With the nearest neighbours (Å) after each atom.
Sites, in units of the cell vectors:
Nd  0.0000  0.5825  0.9154  2 Ru 2.84
Nd  0.0000  0.4175  0.0846  2 Ru 2.84
Nd  0.0000  0.9154  0.5825  2 Ru 2.84
Nd  0.0000  0.0846  0.4175  2 Ru 2.84
Nd  0.0000  0.6265  0.3735  4 Ru 2.96
Nd  0.0000  0.3735  0.6265  4 Ru 2.96
Nd  0.0000  0.8386  0.1614  8 Cd 3.32-3.52, 3 Nd 3.56-3.69
Nd  0.0000  0.1614  0.8386  8 Cd 3.32-3.52, 3 Nd 3.56-3.69
Nd  0.0000  0.0000  0.0000  8 Cd 3.29, 2 Nd 3.56
Nd  0.0000  0.6898  0.6898  4 Ru 3.01
Nd  0.0000  0.3102  0.3102  4 Ru 3.01
Cd  0.5000  0.6336  0.1582  1 Cd 3.06, 1 Ru 3.09, 4 Nd 3.28-3.32
Cd  0.5000  0.3664  0.8418  1 Cd 3.06, 1 Ru 3.09, 4 Nd 3.28-3.32
Cd  0.5000  0.1582  0.6336  1 Cd 3.06, 1 Ru 3.09, 4 Nd 3.28-3.32
Cd  0.5000  0.8418  0.3664  1 Cd 3.06, 1 Ru 3.09, 4 Nd 3.28-3.32
Cd  0.5000  0.7827  0.9242  1 Ru 3.10, 1 Cd 3.12, 6 Nd 3.25-3.46
Cd  0.5000  0.2173  0.0758  1 Ru 3.10, 1 Cd 3.12, 6 Nd 3.25-3.46
Cd  0.5000  0.9242  0.7827  1 Ru 3.10, 1 Cd 3.12, 6 Nd 3.25-3.46
Cd  0.5000  0.0758  0.2173  1 Ru 3.10, 1 Cd 3.12, 6 Nd 3.25-3.46
Cd  0.5000  0.5000  0.5000  4 Ru 3.10, 8 Nd 3.40
Ru  0.5000  0.5471  0.7480  6 Nd 2.84-3.01, 3 Cd 3.09-3.10
Ru  0.5000  0.4529  0.2520  6 Nd 2.84-3.01, 3 Cd 3.09-3.10
Ru  0.5000  0.7480  0.5471  6 Nd 2.84-3.01, 3 Cd 3.09-3.10
Ru  0.5000  0.2520  0.4529  6 Nd 2.84-3.01, 3 Cd 3.09-3.10

=====

No. 6
First-principles (GGA-PBE) data for Nd8CdRu2 after structural relaxation, as listed in the Alexandria database.

Properties
As for the space-group type: C2/m (12). As for the energy of formation: -0.101 eV/atom. The energy is -0.3924 Ry per atom.

a = 5.7145 Å, b = 8.1685 Å, c = 8.1685 Å
α = 114.95°, β = 97.40°, γ = 97.40°
With the nearest neighbours (Å) after each atom.
Sites, in units of the cell vectors:
Nd  0.9386  0.9247  0.6697  2 Ru 2.91
Nd  0.9386  0.6697  0.9247  2 Ru 2.91
Nd  0.2987  0.6037  0.6037  4 Nd 3.26-3.46, 2 Ru 3.29, 1 Cd 3.39
Nd  0.5000  0.7515  0.2485  2 Ru 2.93
Nd  0.5000  0.2485  0.7515  2 Ru 2.93
Nd  0.7013  0.3963  0.3963  4 Nd 3.26-3.46, 2 Ru 3.29, 1 Cd 3.39
Nd  0.0614  0.3303  0.0753  2 Ru 2.91
Nd  0.0614  0.0753  0.3303  2 Ru 2.91
Cd  0.5000  0.0000  0.0000  8 Nd 3.39-3.72
Ru  0.0000  0.2970  0.7030  6 Nd 2.91-2.93
Ru  0.0000  0.7030  0.2970  6 Nd 2.91-2.93

=====

No. 7
First-principles (GGA-PBE) data for Nd12CdRu6 after structural relaxation, as listed in the Alexandria database.

Properties
As for the space-group type: Im-3 (204). As for the energy of formation: -0.171 eV/atom. The energy is -0.4527 Ry per atom.

a = 8.8161 Å, b = 8.8161 Å, c = 8.8161 Å
α = 109.47°, β = 109.47°, γ = 109.47°
With the nearest neighbours (Å) after each atom.
Sites, in units of the cell vectors:
Nd  0.2994  0.1023  0.8029  1 Ru 2.76
Nd  0.2994  0.4964  0.1971  1 Ru 2.76
Nd  0.7006  0.5036  0.8029  1 Ru 2.76
Nd  0.7006  0.8977  0.1971  1 Ru 2.76
Nd  0.1023  0.8029  0.2994  1 Ru 2.76
Nd  0.4964  0.1971  0.2994  1 Ru 2.76
Nd  0.5036  0.8029  0.7006  1 Ru 2.76
Nd  0.8977  0.1971  0.7006  1 Ru 2.76
Nd  0.8029  0.2994  0.1023  1 Ru 2.76
Nd  0.1971  0.2994  0.4964  1 Ru 2.76
Nd  0.8029  0.7006  0.5036  1 Ru 2.76
Nd  0.1971  0.7006  0.8977  1 Ru 2.76
Cd  0.0000  0.0000  0.0000  12 Nd 3.65
Ru  0.3790  0.5000  0.8790  1 Ru 2.46, 2 Nd 2.76
Ru  0.6210  0.5000  0.1210  1 Ru 2.46, 2 Nd 2.76
Ru  0.5000  0.8790  0.3790  1 Ru 2.46, 2 Nd 2.76
Ru  0.5000  0.1210  0.6210  1 Ru 2.46, 2 Nd 2.76
Ru  0.8790  0.3790  0.5000  1 Ru 2.46, 2 Nd 2.76
Ru  0.1210  0.6210  0.5000  1 Ru 2.46, 2 Nd 2.76

=====

No. 8
First-principles (GGA-PBE) data for Nd4Cd5Ru2 after structural relaxation, as listed in the Alexandria database.

Properties
As for the space-group type: P2/m (10). As for the energy of formation: -0.258 eV/atom. The energy is -0.3009 Ry per atom.

a = 3.8186 Å, b = 7.7560 Å, c = 9.7265 Å
α = 94.91°, β = 90.00°, γ = 90.00°
With the nearest neighbours (Å) after each atom.
Sites, in units of the cell vectors:
Nd  0.5000  0.7833  0.5533  4 Ru 2.99-3.02
Nd  0.5000  0.1700  0.8475  2 Ru 2.81
Nd  0.5000  0.2167  0.4467  4 Ru 2.99-3.02
Nd  0.5000  0.8300  0.1525  2 Ru 2.81
Cd  0.0000  0.5508  0.3221  1 Ru 2.91, 2 Cd 3.12-3.13
Cd  0.0000  0.1872  0.1549  1 Ru 2.92, 2 Cd 2.96-3.13
Cd  0.0000  0.5000  0.0000  4 Cd 2.96-3.12
Cd  0.0000  0.8128  0.8451  1 Ru 2.92, 2 Cd 2.96-3.13
Cd  0.0000  0.4492  0.6779  1 Ru 2.91, 2 Cd 3.12-3.13
Ru  0.0000  0.0722  0.6442  6 Nd 2.81-3.02, 2 Cd 2.91-2.92, 1 Ru 2.93
Ru  0.0000  0.9278  0.3558  6 Nd 2.81-3.02, 2 Cd 2.91-2.92, 1 Ru 2.93

=====

No. 9
First-principles (GGA-PBE) data for Nd5Cd4Ru after structural relaxation, as listed in the Alexandria database.

Properties
As for the space-group type: P4/mmm (123). As for the energy of formation: -0.278 eV/atom. The energy is -0.2907 Ry per atom.

a = 3.6974 Å, b = 3.6974 Å, c = 19.9273 Å
α = 90.00°, β = 90.00°, γ = 90.00°
With the nearest neighbours (Å) after each atom.
Sites, in units of the cell vectors:
Nd  0.5000  0.5000  0.0831  4 Ru 3.09, 1 Nd 3.31, 4 Cd 3.41
Nd  0.5000  0.5000  0.2940  8 Cd 3.30-3.33, 4 Nd 3.70
Nd  0.5000  0.5000  0.5000  8 Cd 3.32, 4 Nd 3.70
Nd  0.5000  0.5000  0.7060  8 Cd 3.30-3.33, 4 Nd 3.70
Nd  0.5000  0.5000  0.9169  4 Ru 3.09, 1 Nd 3.31, 4 Cd 3.41
Cd  0.0000  0.0000  0.1926  8 Nd 3.30-3.41, 4 Cd 3.70
Cd  0.0000  0.0000  0.3972  8 Nd 3.32-3.33, 4 Cd 3.70
Cd  0.0000  0.0000  0.6028  8 Nd 3.32-3.33, 4 Cd 3.70
Cd  0.0000  0.0000  0.8074  8 Nd 3.30-3.41, 4 Cd 3.70
Ru  0.0000  0.0000  0.0000  8 Nd 3.09

=====

No. 10
First-principles (GGA-PBE) data for Nd8Cd2Ru3 after structural relaxation, as listed in the Alexandria database.

Properties
As for the space-group type: P2/m (10). As for the energy of formation: -0.107 eV/atom. The energy is -0.3912 Ry per atom.

a = 5.0129 Å, b = 10.0144 Å, c = 9.2286 Å
α = 122.82°, β = 90.00°, γ = 90.00°
With the nearest neighbours (Å) after each atom.
Sites, in units of the cell vectors:
Nd  0.0000  0.6076  0.2143  2 Ru 3.00-3.01, 2 Cd 3.29, 1 Nd 3.32
Nd  0.0000  0.3924  0.7857  2 Ru 3.00-3.01, 2 Cd 3.29, 1 Nd 3.32
Nd  0.0000  0.1106  0.2203  4 Ru 3.03-3.04, 2 Cd 3.37
Nd  0.0000  0.8894  0.7797  4 Ru 3.03-3.04, 2 Cd 3.37
Nd  0.5000  0.6446  0.7847  3 Ru 2.99-3.01, 1 Cd 3.30
Nd  0.5000  0.1384  0.7832  3 Ru 2.99-3.02, 1 Cd 3.30
Nd  0.5000  0.8616  0.2168  3 Ru 2.99-3.02, 1 Cd 3.30
Nd  0.5000  0.3554  0.2153  3 Ru 2.99-3.01, 1 Cd 3.30
Cd  0.5000  0.2555  0.5104  8 Nd 3.29-3.37
Cd  0.5000  0.7445  0.4896  8 Nd 3.29-3.37
Ru  0.5000  0.0000  0.0000  8 Nd 2.99-3.03
Ru  0.0000  0.2500  0.9997  8 Nd 3.00-3.04
Ru  0.0000  0.7500  0.0003  8 Nd 3.00-3.04

=====

The highest energy of formation belongs to which entry?
Nd6CdRu

=====

Number 4 is which compound?
Nd6CdRu